No. 1
TcC2F, optimized geometry, DFT PBE; relative energy among the computed polymorphs = 0.0000 eV per atom; volume = 13.63 Å³/atom; SG = I-42d, No. 122; total magnetic moment = 0.00 μB/f.u.; VASP energy = -6.625 eV per atom; energy relative to the elements, uncorrected = 1.0466 eV per atom
1.0
4.804 0.000 0.000
0.000 4.804 0.000
2.402 2.402 4.724
C Tc F
4 2 2
Direct
0.693 0.125 0.250
0.057 0.625 0.250
0.375 0.307 0.750
0.875 0.943 0.750
0.000 0.000 0.000
0.750 0.250 0.500
0.500 0.500 0.000
0.250 0.750 0.500

---

No. 2
CaTl2Sn6, optimized geometry, DFT PBE; volume = 28.19 Å³/atom; SG = C2/m, No. 12; total magnetic moment = 0.00 μB/f.u.; VASP energy = -3.546 eV per atom; ΔH_f (0 K) = -0.130 eV per atom
1.0
6.331 -0.038 -0.597
-0.685 6.289 -0.751
-0.051 0.090 6.370
Ca Tl Sn
1 2 6
Direct
0.000 0.000 0.000
0.663 0.664 0.664
0.337 0.336 0.336
0.166 0.500 0.834
0.834 0.166 0.500
0.834 0.500 0.166
0.500 0.166 0.834
0.166 0.834 0.500
0.500 0.834 0.166